Density functional theory data (PBE) for an optimized crystal structure of LiCaGe2.

Geometry as POSCAR:
```
LiCaGe2
1.0
4.2612 0.0000 0.0000
-2.1306 3.6903 0.0000
0.0000 0.0000 15.8629
Li Ca Ge
3 3 6
direct
0.0000 0.0000 0.0000
0.3333 0.6667 0.6667
0.6667 0.3333 0.3333
0.0000 0.0000 0.5000
0.3333 0.6667 0.1667
0.6667 0.3333 0.8333
0.0000 0.0000 0.2866
0.0000 0.0000 0.7134
0.3333 0.6667 0.3800
0.3333 0.6667 0.9533
0.6667 0.3333 0.0467
0.6667 0.3333 0.6200
```

Values from the calculation:
SG	R-3m (166)
size of the total moment	0.000	μB per atom
volume	20.79	A^3/atom
total energy	-14.7	eV/f.u.
formation energy from the elements	-0.389	eV per atom
energy above the most stable polymorph in this dataset	12.0	kJ per mole of atoms

---

Density functional theory data (PBE) for an optimized crystal structure of PmPaPdRu.

Geometry as POSCAR:
```
PmPaPdRu
1.0
6.9946 0.0000 0.0000
0.0000 6.9946 0.0000
0.0000 0.0000 6.9946
Pm Pa Pd Ru
4 4 4 4
direct
0.0000 0.0000 0.0000
0.0000 0.5000 0.5000
0.5000 0.0000 0.5000
0.5000 0.5000 0.0000
0.0000 0.0000 0.5000
0.0000 0.5000 0.0000
0.5000 0.0000 0.0000
0.5000 0.5000 0.5000
0.2500 0.2500 0.7500
0.2500 0.7500 0.2500
0.7500 0.2500 0.2500
0.7500 0.7500 0.7500
0.2500 0.2500 0.2500
0.2500 0.7500 0.7500
0.7500 0.2500 0.7500
0.7500 0.7500 0.2500
```

Values from the calculation:
SG	F-43m (216)
size of the total moment	0.005	μB per atom
volume	21.39	A^3/atom
total energy	-30.2	eV/f.u.
formation energy from the elements	-0.365	eV per atom

---

Density functional theory data (PBE) for an optimized crystal structure of PmY2I6.

Geometry as POSCAR:
```
PmY2I6
1.0
8.6068 -2.0901 0.0000
8.6068 2.0901 0.0000
-5.2151 0.0000 10.2956
Pm Y I
1 2 6
direct
0.0000 0.0000 0.0000
0.3498 0.3498 0.6946
0.6502 0.6502 0.3054
0.0149 0.0149 0.2878
0.3009 0.3009 0.3918
0.3494 0.3494 0.9550
0.6506 0.6506 0.0450
0.6991 0.6991 0.6082
0.9851 0.9851 0.7122
```

Values from the calculation:
SG	C2/m (12)
size of the total moment	0.000	μB per atom
volume	41.16	A^3/atom
total energy	-38.3	eV/f.u.
energy relative to the elements, uncorrected	-1.26	eV/atom
energy above the most stable polymorph in this dataset	0.0	kJ per mole of atoms

---

Density functional theory data (PBE) for an optimized crystal structure of BaSrCa2Ni.

Geometry as POSCAR:
```
BaSrCa2Ni
1.0
5.7597 0.0000 0.0000
0.0000 5.7597 0.0000
0.0000 0.0000 6.0630
Ba Sr Ca Ni
1 1 2 1
direct
0.0000 0.0000 0.0000
0.5000 0.5000 0.0000
0.0000 0.5000 0.5000
0.5000 0.0000 0.5000
0.0000 0.0000 0.5000
```

Values from the calculation:
SG	P4/mmm (123)
size of the total moment	0.000	μB per atom
volume	40.23	A^3/atom
total energy	-13.5	eV/f.u.
formation energy from the elements	-0.013	eV per atom
energy above the most stable polymorph in this dataset	0.2	kJ per mole of atoms

---

Density functional theory data (PBE) for an optimized crystal structure of NaGaPb.

Geometry as POSCAR:
```
NaGaPb
1.0
5.9146 0.0000 0.0000
-1.5067 7.1798 0.0000
-1.8972 -3.2249 7.5160
Na Ga Pb
4 4 4
direct
0.0000 0.0000 0.0000
0.0840 0.3962 0.8579
0.5788 0.5339 0.6769
0.7313 0.6200 0.1830
0.2174 0.4573 0.2939
0.2836 0.7900 0.2240
0.4504 0.8208 0.9660
0.6457 0.9159 0.5404
0.0885 0.7175 0.6064
0.1303 0.1048 0.4591
0.5228 0.1627 0.8476
0.6297 0.2131 0.2957
```

Values from the calculation:
SG	P1 (1)
size of the total moment	0.000	μB per atom
volume	26.60	A^3/atom
total energy	-8.2	eV/f.u.
formation energy from the elements	-0.064	eV per atom

---

Density functional theory data (PBE) for an optimized crystal structure of Tm6Sb2H.

Geometry as POSCAR:
```
Tm6Sb2H
1.0
6.4294 0.0000 0.0000
0.0000 7.3156 0.0000
-6.4199 0.0000 9.6977
Tm Sb H
12 4 2
direct
0.0778 0.1993 0.4607
0.0778 0.3007 0.9607
0.3451 0.6998 0.4613
0.3451 0.8002 0.9613
0.3942 0.0179 0.2489
0.3942 0.4821 0.7489
0.6058 0.5179 0.2511
0.6058 0.9821 0.7511
0.6549 0.1998 0.0387
0.6549 0.3002 0.5387
0.9222 0.6993 0.0393
0.9222 0.8007 0.5393
0.1467 0.1181 0.7502
0.1467 0.3819 0.2502
0.8533 0.6181 0.7498
0.8533 0.8819 0.2498
0.0000 0.0000 0.0000
0.0000 0.5000 0.5000
```

Values from the calculation:
SG	P2_1/c (14)
size of the total moment	0.000	μB per atom
volume	25.34	A^3/atom
total energy	-43.3	eV/f.u.

---

Density functional theory data (PBE) for an optimized crystal structure of KCaSnF2.

Geometry as POSCAR:
```
KCaSnF2
1.0
4.5232 0.0000 0.0000
0.0000 4.5232 0.0000
0.0000 0.0000 9.1131
K Ca Sn F
1 1 1 2
direct
0.0000 0.0000 0.0000
0.0000 0.0000 0.5000
0.5000 0.5000 0.0000
0.0000 0.5000 0.5000
0.5000 0.0000 0.5000
```

Values from the calculation:
SG	P4/mmm (123)
size of the total moment	0.148	μB per atom
volume	37.29	A^3/atom
total energy	-19.5	eV/f.u.
energy relative to the elements, uncorrected	-1.73	eV/atom

---

Density functional theory data (PBE) for an optimized crystal structure of LaTi2Be2.

Geometry as POSCAR:
```
LaTi2Be2
1.0
7.2790 0.0000 0.0000
0.0000 7.2790 0.0000
0.0000 0.0000 3.1307
La Ti Be
2 4 4
direct
0.0000 0.0000 0.0000
0.5000 0.5000 0.0000
0.1775 0.3225 0.5000
0.3225 0.8225 0.5000
0.6775 0.1775 0.5000
0.8225 0.6775 0.5000
0.1034 0.6034 0.0000
0.3966 0.1034 0.0000
0.6034 0.8966 0.0000
0.8966 0.3966 0.0000
```

Values from the calculation:
SG	P4/mbm (127)
size of the total moment	0.000	μB per atom
volume	16.59	A^3/atom
total energy	-26.9	eV/f.u.
formation energy from the elements	0.245	eV per atom
energy above the most stable polymorph in this dataset	6.2	kJ per mole of atoms

---

Density functional theory data (PBE) for an optimized crystal structure of SrHgW.

Geometry as POSCAR:
```
SrHgW
1.0
4.2203 0.0000 0.0000
0.0000 4.2336 0.0000
0.0000 0.0000 15.0277
Sr Hg W
4 4 4
direct
0.0000 0.0000 0.0000
0.0000 0.5000 0.5000
0.5000 0.0000 0.5000
0.5000 0.5000 0.0000
0.0000 0.0000 0.3211
0.0000 0.5000 0.8211
0.5000 0.0000 0.8211
0.5000 0.5000 0.3211
0.0000 0.0000 0.6736
0.0000 0.5000 0.1736
0.5000 0.0000 0.1736
0.5000 0.5000 0.6736
```

Values from the calculation:
SG	Fmm2 (42)
size of the total moment	0.000	μB per atom
volume	22.37	A^3/atom
total energy	-12.5	eV/f.u.
formation energy from the elements	0.821	eV per atom
energy above the most stable polymorph in this dataset	0.0	kJ per mole of atoms

---

Density functional theory data (PBE) for an optimized crystal structure of Pm2SmFe.

Geometry as POSCAR:
```
Pm2SmFe
1.0
3.4766 0.0000 0.0000
-1.7383 3.0108 0.0000
0.0000 0.0000 33.1500
Pm Sm Fe
6 3 3
direct
0.0000 0.0000 0.0751
0.0000 0.0000 0.9249
0.3333 0.6667 0.5915
0.3333 0.6667 0.7418
0.6667 0.3333 0.2582
0.6667 0.3333 0.4085
0.0000 0.0000 0.5000
0.3333 0.6667 0.1667
0.6667 0.3333 0.8333
0.0000 0.0000 0.0000
0.3333 0.6667 0.6667
0.6667 0.3333 0.3333
```

Values from the calculation:
SG	R-3m (166)
size of the total moment	0.433	μB per atom
volume	28.92	A^3/atom
total energy	-20.3	eV/f.u.
formation energy from the elements	0.607	eV per atom
energy above the most stable polymorph in this dataset	43.3	kJ per mole of atoms

---

What is the formula in the ninth record?
SrHgW

---

The lowest total energy belongs to which entry?
Tm6Sb2H